1.
The following is a PBE-GGA calculation of a relaxed structure of TbScSb, from Alexandria.

POSCAR file:
```
TbScSb
1.0
4.353 0.000 0.000
0.000 4.353 0.000
0.000 0.000 8.213
Tb Sc Sb
2 2 2
Direct
0.250 0.250 0.151
0.750 0.750 0.849
0.250 0.750 0.500
0.750 0.250 0.500
0.250 0.250 0.764
0.750 0.750 0.236
```

Crystal system: tetragonal
VASP energy (Ha/atom): -0.2166
DOS at the Fermi energy (states/eV/cell): 4.802

2.
The following is a PBE-GGA calculation of a relaxed structure of Tb3Sc4Sb4, from Alexandria.

POSCAR file:
```
Tb3Sc4Sb4
1.0
-2.081 4.450 7.772
2.081 -4.450 7.772
2.081 4.450 -7.772
Tb Sc Sb
3 4 4
Direct
0.000 0.000 0.000
0.387 0.887 0.500
0.613 0.113 0.500
0.024 0.324 0.700
0.377 0.676 0.700
0.623 0.324 0.300
0.976 0.676 0.300
0.233 0.233 0.000
0.288 0.500 0.788
0.712 0.500 0.212
0.767 0.767 0.000
```

Crystal system: orthorhombic
VASP energy (Ha/atom): -0.2158
DOS at the Fermi energy (states/eV/cell): 9.651

3.
The following is a PBE-GGA calculation of a relaxed structure of Tb2ThScSb4, from Alexandria.

POSCAR file:
```
Tb2ThScSb4
1.0
7.562 0.000 0.000
0.000 4.393 0.000
-2.538 0.000 7.165
Tb Th Sc Sb
2 1 1 4
Direct
0.000 0.000 0.000
0.500 0.500 0.000
0.000 0.500 0.500
0.500 0.000 0.500
0.261 0.000 0.751
0.263 0.500 0.258
0.737 0.500 0.742
0.739 0.000 0.249
```

Crystal system: monoclinic
VASP energy (Ha/atom): -0.2192
DOS at the Fermi energy (states/eV/cell): 1.815

4.
The following is a PBE-GGA calculation of a relaxed structure of TbTh2ScSb5, from Alexandria.

POSCAR file:
```
TbTh2ScSb5
1.0
5.312 0.000 0.000
0.000 5.312 0.000
0.000 0.000 11.138
Tb Th Sc Sb
1 2 1 5
Direct
0.000 0.000 0.000
0.500 0.500 0.201
0.500 0.500 0.799
0.000 0.000 0.500
0.000 0.000 0.260
0.000 0.000 0.740
0.000 0.500 0.000
0.500 0.000 0.000
0.500 0.500 0.500
```

Crystal system: tetragonal
VASP energy (Ha/atom): -0.1944
DOS at the Fermi energy (states/eV/cell): 6.155

5.
The following is a PBE-GGA calculation of a relaxed structure of Tb2TmSc3Sb6, from Alexandria.

POSCAR file:
```
Tb2TmSc3Sb6
1.0
3.704 -6.418 0.000
3.704 6.418 0.000
-2.469 0.000 6.965
Tb Tm Sc Sb
2 1 3 6
Direct
0.166 0.834 0.000
0.834 0.166 0.000
0.500 0.500 0.000
0.000 0.000 0.500
0.332 0.668 0.500
0.668 0.332 0.500
0.081 0.412 0.736
0.258 0.258 0.266
0.412 0.081 0.736
0.588 0.919 0.264
0.742 0.742 0.734
0.919 0.588 0.264
```

Crystal system: monoclinic
VASP energy (Ha/atom): -0.2136
DOS at the Fermi energy (states/eV/cell): 2.010

6.
The following is a PBE-GGA calculation of a relaxed structure of TbYSc2Sb4, from Alexandria.

POSCAR file:
```
TbYSc2Sb4
1.0
7.406 0.000 0.000
0.000 4.286 0.000
-2.479 0.000 6.995
Tb Y Sc Sb
1 1 2 4
Direct
0.000 0.000 0.000
0.000 0.500 0.500
0.500 0.000 0.500
0.500 0.500 0.000
0.266 0.000 0.755
0.266 0.500 0.256
0.734 0.000 0.245
0.734 0.500 0.744
```

Crystal system: monoclinic
VASP energy (Ha/atom): -0.2231
DOS at the Fermi energy (states/eV/cell): 1.329

7.
The following is a PBE-GGA calculation of a relaxed structure of TbY2ScSb4, from Alexandria.

POSCAR file:
```
TbY2ScSb4
1.0
7.516 0.000 0.000
0.000 4.344 0.000
-2.508 0.000 7.089
Tb Y Sc Sb
1 2 1 4
Direct
0.000 0.000 0.000
0.000 0.500 0.500
0.500 0.000 0.500
0.500 0.500 0.000
0.255 0.500 0.245
0.260 0.000 0.760
0.740 0.000 0.240
0.745 0.500 0.755
```

Crystal system: monoclinic
VASP energy (Ha/atom): -0.2256
DOS at the Fermi energy (states/eV/cell): 1.207

8.
The following is a PBE-GGA calculation of a relaxed structure of Tb2YScSb4, from Alexandria.

POSCAR file:
```
Tb2YScSb4
1.0
7.521 0.000 0.000
0.000 4.347 0.000
-2.511 0.000 7.093
Tb Y Sc Sb
2 1 1 4
Direct
0.000 0.000 0.000
0.000 0.500 0.500
0.500 0.000 0.500
0.500 0.500 0.000
0.256 0.500 0.245
0.261 0.000 0.760
0.739 0.000 0.240
0.744 0.500 0.755
```

Crystal system: monoclinic
VASP energy (Ha/atom): -0.2170
DOS at the Fermi energy (states/eV/cell): 1.201

9.
The following is a PBE-GGA calculation of a relaxed structure of ScTc3Sb, from Alexandria.

POSCAR file:
```
ScTc3Sb
1.0
4.825 0.000 0.000
0.000 4.825 0.000
0.000 0.000 4.825
Sc Tc Sb
1 3 1
Direct
0.000 0.000 0.000
0.000 0.500 0.500
0.500 0.000 0.500
0.500 0.500 0.000
0.500 0.500 0.500
```

Crystal system: cubic
VASP energy (Ha/atom): -0.2564
Offset from the most stable computed form (meV/atom): 0
DOS at the Fermi energy (states/eV/cell): 3.364

10.
The following is a PBE-GGA calculation of a relaxed structure of ScTcSb4, from Alexandria.

POSCAR file:
```
ScTcSb4
1.0
0.000 4.293 4.293
4.293 0.000 4.293
4.293 4.293 0.000
Sc Tc Sb
1 1 4
Direct
0.000 0.000 0.000
0.750 0.750 0.750
0.375 0.375 0.375
0.375 0.375 0.874
0.375 0.874 0.375
0.874 0.375 0.375
```

Crystal system: cubic
VASP energy (Ha/atom): -0.1776
DOS at the Fermi energy (states/eV/cell): 4.568

11.
The following is a PBE-GGA calculation of a relaxed structure of ScTcSb2, from Alexandria.

POSCAR file:
```
ScTcSb2
1.0
3.392 0.000 0.000
0.000 4.325 0.000
-0.919 0.000 5.710
Sc Tc Sb
1 1 2
Direct
0.000 0.000 0.000
0.500 0.000 0.500
0.332 0.500 0.740
0.668 0.500 0.260
```

Crystal system: monoclinic
VASP energy (Ha/atom): -0.2337
Offset from the most stable computed form (meV/atom): 148
DOS at the Fermi energy (states/eV/cell): 2.067

12.
The following is a PBE-GGA calculation of a relaxed structure of Sc6TcSb2, from Alexandria.

POSCAR file:
```
Sc6TcSb2
1.0
7.637 0.000 0.000
-3.818 6.614 0.000
0.000 0.000 4.021
Sc Tc Sb
6 1 2
Direct
0.000 0.235 0.000
0.000 0.606 0.500
0.235 0.000 0.000
0.394 0.394 0.500
0.606 0.000 0.500
0.765 0.765 0.000
0.000 0.000 0.500
0.333 0.667 0.000
0.667 0.333 0.000
```

Crystal system: hexagonal
VASP energy (Ha/atom): -0.2543
DOS at the Fermi energy (states/eV/cell): 5.065

What did the fourth record say?
The following is a PBE-GGA calculation of a relaxed structure of TbTh2ScSb5, from Alexandria.

POSCAR file:
```
TbTh2ScSb5
1.0
5.312 0.000 0.000
0.000 5.312 0.000
0.000 0.000 11.138
Tb Th Sc Sb
1 2 1 5
Direct
0.000 0.000 0.000
0.500 0.500 0.201
0.500 0.500 0.799
0.000 0.000 0.500
0.000 0.000 0.260
0.000 0.000 0.740
0.000 0.500 0.000
0.500 0.000 0.000
0.500 0.500 0.500
```

Crystal system: tetragonal
VASP energy (Ha/atom): -0.1944
DOS at the Fermi energy (states/eV/cell): 6.155